1.
{"formula": "Mg8CdPb3", "functional": "GGA-PBE", "state": "relaxed", "de_polymorph_mev_per_atom": 37, "e_form_ev_per_atom": 0.01, "n_ef_per_ev_fu": 4.690, "lattice": [[4.816, -4.902, 0.000], [4.816, 4.902, 0.000], [-4.652, 0.000, 6.874]], "species": ["Mg", "Mg", "Mg", "Mg", "Mg", "Mg", "Mg", "Mg", "Cd", "Pb", "Pb", "Pb"], "fractional_positions": [[0.000, 0.000, 0.000], [0.204, 0.774, 0.511], [0.244, 0.244, 0.505], [0.399, 0.399, 0.249], [0.502, 0.982, 0.976], [0.514, 0.514, 0.969], [0.774, 0.204, 0.511], [0.982, 0.502, 0.976], [0.153, 0.153, 0.786], [0.380, 0.863, 0.251], [0.630, 0.630, 0.694], [0.863, 0.380, 0.251]]}

2.
{"formula": "Mg15Cd4Pb", "functional": "GGA-PBE", "state": "relaxed", "e_form_ev_per_atom": -0.07, "n_ef_per_ev_fu": 6.037, "lattice": [[4.563, 0.000, 0.000], [0.000, 4.563, 0.000], [0.000, 0.000, 21.606]], "species": ["Mg", "Mg", "Mg", "Mg", "Mg", "Mg", "Mg", "Mg", "Mg", "Mg", "Mg", "Mg", "Mg", "Mg", "Mg", "Cd", "Cd", "Cd", "Cd", "Pb"], "fractional_positions": [[0.000, 0.000, 0.000], [0.000, 0.000, 0.205], [0.000, 0.000, 0.401], [0.000, 0.000, 0.599], [0.000, 0.000, 0.795], [0.000, 0.500, 0.106], [0.000, 0.500, 0.304], [0.000, 0.500, 0.500], [0.000, 0.500, 0.696], [0.000, 0.500, 0.894], [0.500, 0.000, 0.106], [0.500, 0.000, 0.304], [0.500, 0.000, 0.500], [0.500, 0.000, 0.696], [0.500, 0.000, 0.894], [0.500, 0.500, 0.204], [0.500, 0.500, 0.401], [0.500, 0.500, 0.599], [0.500, 0.500, 0.796], [0.500, 0.500, 0.000]]}

no.,E_tot (eV per cell)
1,-24.718
2,-32.687